a) The following is a PBE-GGA calculation of an optimized crystal structure of FeMoRh3, from Alexandria via LeMat-Bulk.

Calculated values
Symmetry   Cmcm (63)
Spin magnetization   3.1 μB per formula unit

Unit cell a=6.4913 b=6.4913 c=5.3802 alpha=90.00 beta=90.00 gamma=140.34
With the nearest neighbours (Å) after each atom.
Fractional positions:
Fe (0.1925, 0.8075, 0.7500)  10 Rh 2.60-2.74, 2 Mo 2.71
Fe (0.8075, 0.1925, 0.2500)  10 Rh 2.60-2.74, 2 Mo 2.71
Mo (0.0000, 0.0000, 0.0000)  6 Rh 2.61-2.72, 2 Mo 2.69, 2 Fe 2.71
Mo (0.0000, 0.0000, 0.5000)  6 Rh 2.61-2.72, 2 Mo 2.69, 2 Fe 2.71
Rh (0.1937, 0.8063, 0.2500)  4 Fe 2.60-2.69, 6 Rh 2.70-2.76, 2 Mo 2.72
Rh (0.3857, 0.6143, 0.0028)  2 Mo 2.61, 6 Rh 2.66-2.79, 3 Fe 2.72-2.74
Rh (0.3857, 0.6143, 0.4972)  2 Mo 2.61, 6 Rh 2.66-2.79, 3 Fe 2.72-2.74
Rh (0.6143, 0.3857, 0.5028)  2 Mo 2.61, 6 Rh 2.66-2.79, 3 Fe 2.72-2.74
Rh (0.6143, 0.3857, 0.9972)  2 Mo 2.61, 6 Rh 2.66-2.79, 3 Fe 2.72-2.74
Rh (0.8063, 0.1937, 0.7500)  4 Fe 2.60-2.69, 6 Rh 2.70-2.76, 2 Mo 2.72

b) The following is a PBE-GGA calculation of an optimized crystal structure of FeMoRh3, from Alexandria via LeMat-Bulk.

Calculated values
Symmetry   Pm-3m (221)
Spin magnetization   0.0 μB per formula unit

Unit cell a=4.3670 b=4.3670 c=4.3670 alpha=90.00 beta=90.00 gamma=90.00
With the nearest neighbours (Å) after each atom.
Fractional positions:
Fe (0.0000, 0.0000, 0.0000)  6 Rh 2.18
Mo (0.5000, 0.5000, 0.5000)  12 Rh 3.09
Rh (0.0000, 0.0000, 0.5000)  2 Fe 2.18
Rh (0.0000, 0.5000, 0.0000)  2 Fe 2.18
Rh (0.5000, 0.0000, 0.0000)  2 Fe 2.18

c) The following is a PBE-GGA calculation of an optimized crystal structure of FeMoRh3, from Alexandria via LeMat-Bulk.

Calculated values
Symmetry   Pm-3m (221)
Spin magnetization   3.6 μB per formula unit

Unit cell a=4.6452 b=4.6452 c=4.6452 alpha=90.00 beta=90.00 gamma=90.00
With the nearest neighbours (Å) after each atom.
Fractional positions:
Fe (0.0000, 0.0000, 0.0000)  12 Rh 3.28
Mo (0.5000, 0.5000, 0.5000)  6 Rh 2.32
Rh (0.0000, 0.5000, 0.5000)  2 Mo 2.32
Rh (0.5000, 0.0000, 0.5000)  2 Mo 2.32
Rh (0.5000, 0.5000, 0.0000)  2 Mo 2.32

Most stable = a)

a) The following is a PBE-GGA calculation of an optimized crystal structure of FeMo2Rh, from Alexandria via LeMat-Bulk.

Calculated values
Symmetry   F-43m (216)
Spin magnetization   3.1 μB per formula unit

Unit cell a=4.3565 b=4.3565 c=4.3565 alpha=60.00 beta=60.00 gamma=60.00
With the nearest neighbours (Å) after each atom.
Fractional positions:
Fe (0.0000, 0.0000, 0.0000)  4 Mo 2.67, 4 Rh 2.67
Mo (0.5000, 0.5000, 0.5000)  4 Mo 2.67, 4 Rh 2.67
Mo (0.7500, 0.7500, 0.7500)  4 Mo 2.67, 4 Fe 2.67
Rh (0.2500, 0.2500, 0.2500)  4 Mo 2.67, 4 Fe 2.67

b) The following is a PBE-GGA calculation of an optimized crystal structure of FeMo2Rh, from Alexandria via LeMat-Bulk.

Calculated values
Symmetry   Fm-3m (225)
Spin magnetization   2.5 μB per formula unit

Unit cell a=4.3542 b=4.3542 c=4.3542 alpha=60.00 beta=60.00 gamma=60.00
With the nearest neighbours (Å) after each atom.
Fractional positions:
Fe (0.0000, 0.0000, 0.0000)  8 Mo 2.67
Mo (0.2500, 0.2500, 0.2500)  4 Fe 2.67, 4 Rh 2.67
Mo (0.7500, 0.7500, 0.7500)  4 Fe 2.67, 4 Rh 2.67
Rh (0.5000, 0.5000, 0.5000)  8 Mo 2.67

Most stable = a)

a) The following is a PBE-GGA calculation of an optimized crystal structure of FeMoRh4, from Alexandria via LeMat-Bulk.

Calculated values
Symmetry   C2/m (12)
Spin magnetization   2.5 μB per formula unit

Unit cell a=4.7465 b=4.7465 c=7.5306 alpha=113.50 beta=113.50 gamma=33.34
With the nearest neighbours (Å) after each atom.
Fractional positions:
Fe (0.0000, 0.0000, 0.0000)  10 Rh 2.64-2.82, 2 Fe 2.72
Mo (0.0000, 0.0000, 0.5000)  10 Rh 2.70-2.75, 2 Mo 2.72
Rh (0.3320, 0.3320, 0.6701)  2 Fe 2.68, 7 Rh 2.71-2.74, 3 Mo 2.73-2.75
Rh (0.3405, 0.3405, 0.1641)  3 Fe 2.64-2.82, 7 Rh 2.70-2.74, 2 Mo 2.70
Rh (0.6595, 0.6595, 0.8359)  3 Fe 2.64-2.82, 7 Rh 2.70-2.74, 2 Mo 2.70
Rh (0.6680, 0.6680, 0.3299)  2 Fe 2.68, 7 Rh 2.71-2.74, 3 Mo 2.73-2.75

b) The following is a PBE-GGA calculation of an optimized crystal structure of FeMoRh4, from Alexandria via LeMat-Bulk.

Calculated values
Symmetry   F-43m (216)
Spin magnetization   3.1 μB per formula unit

Unit cell a=5.0448 b=5.0448 c=5.0448 alpha=60.00 beta=60.00 gamma=60.00
With the nearest neighbours (Å) after each atom.
Fractional positions:
Fe (0.0000, 0.0000, 0.0000)  12 Rh 2.96, 4 Mo 3.09
Mo (0.7500, 0.7500, 0.7500)  12 Rh 2.96, 4 Fe 3.09
Rh (0.3747, 0.3747, 0.3747)  6 Rh 2.52-2.53
Rh (0.3747, 0.3747, 0.8758)  6 Rh 2.52-2.53
Rh (0.3747, 0.8758, 0.3747)  6 Rh 2.52-2.53
Rh (0.8758, 0.3747, 0.3747)  6 Rh 2.52-2.53

c) The following is a PBE-GGA calculation of an optimized crystal structure of FeMoRh4, from Alexandria via LeMat-Bulk.

Calculated values
Symmetry   Pmma (51)
Spin magnetization   3.3 μB per formula unit

Unit cell a=5.3818 b=7.4612 c=4.3437 alpha=90.00 beta=90.00 gamma=90.00
With the nearest neighbours (Å) after each atom.
Fractional positions:
Fe (0.2500, 0.0000, 0.0022)  2 Fe 2.69, 12 Rh 2.81-2.84
Fe (0.7500, 0.0000, 0.9978)  2 Fe 2.69, 12 Rh 2.81-2.84
Mo (0.2500, 0.5000, 0.5032)  2 Mo 2.69, 12 Rh 2.84-2.86
Mo (0.7500, 0.5000, 0.4968)  2 Mo 2.69, 12 Rh 2.84-2.86
Rh (0.0000, 0.1644, 0.5000)  5 Rh 2.45-2.69
Rh (0.0000, 0.3302, 0.0000)  5 Rh 2.50-2.69
Rh (0.0000, 0.6698, 0.0000)  5 Rh 2.50-2.69
Rh (0.0000, 0.8356, 0.5000)  5 Rh 2.45-2.69
Rh (0.5000, 0.1644, 0.5000)  5 Rh 2.45-2.69
Rh (0.5000, 0.3302, 0.0000)  5 Rh 2.50-2.69
Rh (0.5000, 0.6698, 0.0000)  5 Rh 2.50-2.69
Rh (0.5000, 0.8356, 0.5000)  5 Rh 2.45-2.69

Most stable = a)

a) The following is a PBE-GGA calculation of an optimized crystal structure of Fe2MoRu2, from Alexandria via LeMat-Bulk.

Calculated values
Symmetry   P4/mbm (127)
Spin magnetization   0.0 μB per formula unit

Unit cell a=7.0806 b=7.0806 c=2.6428 alpha=90.00 beta=90.00 gamma=90.00
With the nearest neighbours (Å) after each atom.
Fractional positions:
Fe (0.1691, 0.3309, 0.0000)  6 Ru 2.43-2.50, 2 Fe 2.64
Fe (0.3309, 0.8309, 0.0000)  6 Ru 2.43-2.50, 2 Fe 2.64
Fe (0.6691, 0.1691, 0.0000)  6 Ru 2.43-2.50, 2 Fe 2.64
Fe (0.8309, 0.6691, 0.0000)  6 Ru 2.43-2.50, 2 Fe 2.64
Mo (0.0000, 0.0000, 0.5000)  2 Mo 2.64, 4 Ru 2.79, 8 Fe 2.94
Mo (0.5000, 0.5000, 0.5000)  2 Mo 2.64, 4 Ru 2.79, 8 Fe 2.94
Ru (0.1275, 0.6275, 0.5000)  6 Fe 2.43-2.50, 3 Ru 2.55-2.64
Ru (0.3725, 0.1275, 0.5000)  6 Fe 2.43-2.50, 3 Ru 2.55-2.64
Ru (0.6275, 0.8725, 0.5000)  6 Fe 2.43-2.50, 3 Ru 2.55-2.64
Ru (0.8725, 0.3725, 0.5000)  6 Fe 2.43-2.50, 3 Ru 2.55-2.64

b) The following is a PBE-GGA calculation of an optimized crystal structure of Fe2MoRu2, from Alexandria via LeMat-Bulk.

Calculated values
Symmetry   P4/mbm (127)
Spin magnetization   0.5 μB per formula unit

Unit cell a=6.9745 b=6.9745 c=2.6925 alpha=90.00 beta=90.00 gamma=90.00
With the nearest neighbours (Å) after each atom.
Fractional positions:
Fe (0.1202, 0.3798, 0.0000)  1 Fe 2.37, 6 Ru 2.43-2.48
Fe (0.3798, 0.8798, 0.0000)  1 Fe 2.37, 6 Ru 2.43-2.48
Fe (0.6202, 0.1202, 0.0000)  1 Fe 2.37, 6 Ru 2.43-2.48
Fe (0.8798, 0.6202, 0.0000)  1 Fe 2.37, 6 Ru 2.43-2.48
Mo (0.0000, 0.0000, 0.0000)  2 Mo 2.69, 4 Fe 2.78, 8 Ru 2.91
Mo (0.5000, 0.5000, 0.0000)  2 Mo 2.69, 4 Fe 2.78, 8 Ru 2.91
Ru (0.1743, 0.6743, 0.5000)  6 Fe 2.43-2.48, 2 Ru 2.69
Ru (0.3257, 0.1743, 0.5000)  6 Fe 2.43-2.48, 2 Ru 2.69
Ru (0.6743, 0.8257, 0.5000)  6 Fe 2.43-2.48, 2 Ru 2.69
Ru (0.8257, 0.3257, 0.5000)  6 Fe 2.43-2.48, 2 Ru 2.69

Most stable = b)

a) The following is a PBE-GGA calculation of an optimized crystal structure of FeMoRu, from Alexandria via LeMat-Bulk.

Calculated values
Symmetry   Ima2 (46)
Spin magnetization   0.6 μB per formula unit

Unit cell a=7.3868 b=7.3868 c=7.3868 alpha=136.44 beta=85.40 gamma=110.83
With the nearest neighbours (Å) after each atom.
Fractional positions:
Fe (0.0000, 0.0000, 0.0000)  6 Ru 2.50-2.69, 2 Mo 2.70, 2 Fe 2.74
Fe (0.0000, 0.5000, 0.5000)  6 Ru 2.50-2.69, 2 Mo 2.70, 2 Fe 2.74
Fe (0.3957, 0.0382, 0.4156)  2 Mo 2.40-2.61, 2 Fe 2.42-2.48, 4 Ru 2.53-2.67
Fe (0.3957, 0.4800, 0.8574)  2 Mo 2.40-2.61, 2 Fe 2.42-2.48, 4 Ru 2.53-2.67
Fe (0.6226, 0.5382, 0.1426)  2 Mo 2.40-2.61, 2 Fe 2.42-2.48, 4 Ru 2.53-2.67
Fe (0.6226, 0.9800, 0.5844)  2 Mo 2.40-2.61, 2 Fe 2.42-2.48, 4 Ru 2.53-2.67
Mo (0.0128, 0.3059, 0.6956)  6 Ru 2.58-2.74, 3 Fe 2.61-2.71, 2 Mo 2.68-2.80
Mo (0.0128, 0.8172, 0.2069)  6 Ru 2.58-2.74, 3 Fe 2.61-2.71, 2 Mo 2.68-2.80
Mo (0.2587, 0.5560, 0.2027)  2 Fe 2.40, 1 Ru 2.57
Mo (0.3532, 0.0560, 0.7973)  2 Fe 2.40, 1 Ru 2.57
Mo (0.6103, 0.3172, 0.3044)  6 Ru 2.58-2.74, 3 Fe 2.61-2.71, 2 Mo 2.68-2.80
Mo (0.6103, 0.8059, 0.7931)  6 Ru 2.58-2.74, 3 Fe 2.61-2.71, 2 Mo 2.68-2.80
Ru (0.2693, 0.8205, 0.9489)  5 Mo 2.57-2.69, 4 Fe 2.60-2.62, 2 Ru 2.76
Ru (0.2734, 0.3456, 0.4278)  4 Fe 2.50-2.67, 4 Mo 2.61-2.74, 2 Ru 2.76
Ru (0.7168, 0.9737, 0.2431)  6 Fe 2.53-2.69, 4 Mo 2.64-2.73, 2 Ru 2.74
Ru (0.7306, 0.4737, 0.7569)  6 Fe 2.53-2.69, 4 Mo 2.64-2.73, 2 Ru 2.74
Ru (0.8716, 0.3205, 0.0511)  5 Mo 2.57-2.69, 4 Fe 2.60-2.62, 2 Ru 2.76
Ru (0.9178, 0.8456, 0.5722)  4 Fe 2.50-2.67, 4 Mo 2.61-2.74, 2 Ru 2.76

b) The following is a PBE-GGA calculation of an optimized crystal structure of FeMoRu, from Alexandria via LeMat-Bulk.

Calculated values
Symmetry   P3m1 (156)
Spin magnetization   3.3 μB per formula unit

Unit cell a=4.2737 b=4.2737 c=2.6787 alpha=90.00 beta=90.00 gamma=120.00
With the nearest neighbours (Å) after each atom.
Fractional positions:
Fe (0.0000, 0.0000, 0.0000)  3 Mo 2.61, 3 Ru 2.62, 2 Fe 2.68
Mo (0.6667, 0.3333, 0.3212)  3 Fe 2.61, 3 Ru 2.64, 2 Mo 2.68
Ru (0.3333, 0.6667, 0.6758)  3 Fe 2.62, 3 Mo 2.64, 2 Ru 2.68

Most stable = b)

a) The following is a PBE-GGA calculation of an optimized crystal structure of FeSb2Mo, from Alexandria via LeMat-Bulk.

Calculated values
Symmetry   Fm-3m (225)
Spin magnetization   0.0 μB per formula unit

Unit cell a=4.5948 b=4.5948 c=4.5948 alpha=60.00 beta=60.00 gamma=60.00
With the nearest neighbours (Å) after each atom.
Fractional positions:
Fe (0.0000, 0.0000, 0.0000)  8 Sb 2.81
Sb (0.2500, 0.2500, 0.2500)  4 Mo 2.81, 4 Fe 2.81
Sb (0.7500, 0.7500, 0.7500)  4 Fe 2.81, 4 Mo 2.81
Mo (0.5000, 0.5000, 0.5000)  8 Sb 2.81

b) The following is a PBE-GGA calculation of an optimized crystal structure of FeSb2Mo, from Alexandria via LeMat-Bulk.

Calculated values
Symmetry   P4/mmm (123)
Spin magnetization   2.3 μB per formula unit

Unit cell a=3.3549 b=3.3549 c=6.3467 alpha=90.00 beta=90.00 gamma=90.00
With the nearest neighbours (Å) after each atom.
Fractional positions:
Fe (0.0000, 0.0000, 0.0000)  8 Sb 2.85, 2 Mo 3.17
Sb (0.5000, 0.5000, 0.2476)  4 Fe 2.85, 4 Mo 2.86, 1 Sb 3.14
Sb (0.5000, 0.5000, 0.7524)  4 Fe 2.85, 4 Mo 2.86, 1 Sb 3.14
Mo (0.0000, 0.0000, 0.5000)  8 Sb 2.86, 2 Fe 3.17

Most stable = b)

a) The following is a PBE-GGA calculation of an optimized crystal structure of FeSb2Mo, from Alexandria via LeMat-Bulk.

Calculated values
Symmetry   Imm2 (44)
Spin magnetization   2.0 μB per formula unit

Unit cell a=6.6473 b=6.6473 c=6.6473 alpha=149.43 beta=149.09 gamma=44.03
With the nearest neighbours (Å) after each atom.
Fractional positions:
Fe (0.0000, 0.0000, 0.0000)  6 Sb 2.65-2.67
Sb (0.5743, 0.5743, 0.0000)  4 Fe 2.65, 2 Mo 2.72
Sb (0.8367, 0.3367, 0.5000)  2 Fe 2.67, 4 Mo 2.75
Mo (0.2419, 0.7419, 0.5000)  6 Sb 2.72-2.75

b) The following is a PBE-GGA calculation of an optimized crystal structure of FeSb2Mo, from Alexandria via LeMat-Bulk.

Calculated values
Symmetry   P4mm (99)
Spin magnetization   1.9 μB per formula unit

Unit cell a=3.1355 b=3.1355 c=8.2752 alpha=90.00 beta=90.00 gamma=90.00
With the nearest neighbours (Å) after each atom.
Fractional positions:
Fe (0.0000, 0.0000, 0.0000)  4 Mo 2.60, 4 Sb 2.76
Sb (0.0000, 0.0000, 0.3969)  4 Mo 2.93, 4 Sb 3.14, 1 Fe 3.28
Sb (0.5000, 0.5000, 0.8016)  4 Fe 2.76, 1 Mo 3.01
Mo (0.5000, 0.5000, 0.1649)  4 Fe 2.60

Most stable = b)

a) The following is a PBE-GGA calculation of an optimized crystal structure of FeSb2Mo, from Alexandria via LeMat-Bulk.

Calculated values
Symmetry   F-43m (216)
Spin magnetization   3.2 μB per formula unit

Unit cell a=4.7660 b=4.7660 c=4.7660 alpha=60.00 beta=60.00 gamma=60.00
With the nearest neighbours (Å) after each atom.
Fractional positions:
Fe (0.0000, 0.0000, 0.0000)  4 Mo 2.92, 4 Sb 2.92
Sb (0.2500, 0.2500, 0.2500)  4 Fe 2.92, 4 Sb 2.92
Sb (0.5000, 0.5000, 0.5000)  4 Mo 2.92, 4 Sb 2.92
Mo (0.7500, 0.7500, 0.7500)  4 Fe 2.92, 4 Sb 2.92

b) The following is a PBE-GGA calculation of an optimized crystal structure of FeSb2Mo, from Alexandria via LeMat-Bulk.

Calculated values
Symmetry   C2/m (12)
Spin magnetization   2.2 μB per formula unit

Unit cell a=4.5530 b=4.5530 c=5.4143 alpha=100.73 beta=100.73 gamma=42.44
With the nearest neighbours (Å) after each atom.
Fractional positions:
Fe (0.0000, 0.0000, 0.0000)  6 Sb 2.71-2.82
Sb (0.2473, 0.2473, 0.7514)  3 Fe 2.71-2.82, 3 Mo 2.76-2.80
Sb (0.7527, 0.7527, 0.2486)  3 Fe 2.71-2.82, 3 Mo 2.76-2.80
Mo (0.5000, 0.5000, 0.5000)  6 Sb 2.76-2.80

Most stable = b)